No. 1
DFT (PBE) results for a relaxed structure of NdSiHg.

The structure in POSCAR format:
```
NdSiHg
1.0
4.277 0.000 0.000
0.000 4.394 0.000
0.000 -2.197 3.806
Hg Si Nd
1 1 1
Cartesian
0.797 0.000 2.537
0.620 0.000 0.000
2.859 2.197 1.269
```

Properties
Raw formation energy ... -0.463 eV/atom
DFT total energy ... -11.881 eV for the cell shown

=====

No. 2
DFT (PBE) results for a relaxed structure of Ca2LaScH.

The structure in POSCAR format:
```
Ca2LaScH
1.0
-0.156 -2.739 -4.217
3.672 -2.944 1.777
-3.666 -3.226 2.231
Ca La H Sc
2 1 1 1
Cartesian
1.836 -1.472 0.888
-0.078 -1.370 -2.108
-1.833 -1.613 1.116
0.000 0.000 0.000
-0.075 -4.455 -0.104
```

Properties
DFT total energy ... -18.708 eV for the cell shown